Density functional theory data (PBE-GGA) for an optimized crystal structure of Li5TlO4.

It has space group Pmmn (No. 59, origin choice 2), with a = 6.570 Å, b = 7.232 Å, c = 4.853 Å, α = 90.00°, β = 90.00° and γ = 90.00°. The inequivalent atoms are Li at (0.004, 0.062, 0.240), Li at (0.250, 0.750, 0.243), Tl at (0.250, 0.250, 0.766), O at (0.018, 0.750, 0.484) and O at (0.250, 0.507, 0.011).

As for the polymorph energy (0 for the lowest one): 0.0691 eV/atom.

Density functional theory data (PBE-GGA) for an optimized crystal structure of BaCe2WN4.

It has space group Cmcm (No. 63), with a = 3.583 Å, b = 12.598 Å, c = 12.394 Å, α = 90.00°, β = 90.00° and γ = 90.00°. The inequivalent atoms are Ba at (0.000, 0.076, 0.250), Ce at (0.000, 0.369, 0.042), W at (0.000, 0.183, 0.750), N at (0.000, 0.000, 0.000), N at (0.000, 0.253, 0.611) and N at (0.000, 0.396, 0.250).

The calculation puts the density of states at the Fermi level at 37.7 states/eV per cell. Its final energy is -271.8 eV for the cell shown.